First-principles (PBE-GGA) data for crystalline ScPaRuW at its relaxed geometry, as listed in Alexandria.

The structure in POSCAR format:
```
ScPaRuW
1.0
0.000 3.360 3.360
3.360 0.000 3.360
3.360 3.360 0.000
Sc Pa Ru W
1 1 1 1
Direct
0.000 0.000 0.000 Sc
0.500 0.500 0.500 Pa
0.250 0.250 0.250 Ru
0.750 0.750 0.750 W
```

Computed properties:
The crystal system is cubic.


First-principles (PBE-GGA) data for crystalline YSc2PaRu4 at its relaxed geometry, as listed in Alexandria.

The structure in POSCAR format:
```
YSc2PaRu4
1.0
2.373 1.370 7.524
-2.373 1.370 7.524
0.000 -2.740 7.524
Y Sc Pa Ru
1 2 1 4
Direct
0.000 0.000 0.000 Y
0.253 0.253 0.253 Sc
0.747 0.747 0.747 Sc
0.500 0.500 0.500 Pa
0.129 0.129 0.129 Ru
0.383 0.383 0.383 Ru
0.617 0.617 0.617 Ru
0.871 0.871 0.871 Ru
```

Computed properties:
The crystal system is trigonal.


Ordered density of states at the Fermi level results: 0.8511 0.4144; unit states/eV per atom.
Ordered VASP energy results: -38.505 -70.511; unit eV for the cell shown.
Ordered density results: 12.28 9.21; unit Mg/m³.